(1)
# PBE SrCa2Cd, optimized geometry
# crystal system = monoclinic
# N(E_F) = 0.86 states/eV/atom
# raw total energy = -13.36 eV/cell
data_SrCa2Cd
_symmetry_space_group_name_H-M 'C 1 2/m 1'
_symmetry_Int_Tables_number 12
_cell_length_a 7.226
_cell_length_b 12.281
_cell_length_c 3.808
_cell_angle_alpha 90.00
_cell_angle_beta 115.96
_cell_angle_gamma 90.00
loop_
_symmetry_equiv_pos_as_xyz
'x,y,z'
'-x,-y,-z'
'-x,y,-z'
'x,-y,z'
'x+1/2,y+1/2,z'
'-x+1/2,-y+1/2,-z'
'-x+1/2,y+1/2,-z'
'x+1/2,-y+1/2,z'
loop_
_atom_site_label
_atom_site_fract_x
_atom_site_fract_y
_atom_site_fract_z
Sr1 0.000 0.000 0.000
Ca1 0.250 0.250 0.500
Cd1 0.000 0.500 0.000

(2)
# PBE Sr2CaCd2, optimized geometry
# crystal system = tetragonal
# N(E_F) = 0.89 states/eV/atom
# energy above the most stable polymorph in this dataset = 0.000 eV/atom
data_Sr2CaCd2
_symmetry_space_group_name_H-M 'P 4/m b m'
_symmetry_Int_Tables_number 127
_symmetry_space_group_name_Hall '-P 4 2ab'
_cell_length_a 8.850
_cell_length_b 8.850
_cell_length_c 4.694
_cell_angle_alpha 90.00
_cell_angle_beta 90.00
_cell_angle_gamma 90.00
loop_
_atom_site_label
_atom_site_fract_x
_atom_site_fract_y
_atom_site_fract_z
Sr1 0.167 0.333 0.000
Ca1 0.000 0.000 0.500
Cd1 0.128 0.628 0.500